Entry 1:
Tc3SCl (GGA-PBE, relaxed); offset from the most stable computed form = 0.0 meV per atom; crystal system = cubic; DOS(E_F) = 2.90 states/eV/f.u.; energy relative to the elements, uncorrected = 1.00 eV per atom
1.0
4.457 0.000 0.000
0.000 4.457 0.000
0.000 0.000 4.457
Tc Cl S
3 1 1
direct
0.000 0.500 0.000
0.500 0.000 0.000
0.000 0.000 0.500
0.500 0.500 0.500
0.000 0.000 0.000

=====

Entry 2:
GdTmTcPt (GGA-PBE, relaxed); E_form = -2.2 eV per formula unit; crystal system = cubic; DOS(E_F) = 2.99 states/eV/f.u.
1.0
-1.025 3.781 -2.877
-4.627 1.221 -0.852
-1.828 4.080 1.908
Gd Tc Pt Tm
1 1 1 1
direct
0.250 0.250 0.250
0.500 0.500 0.500
0.000 0.000 0.000
0.750 0.750 0.750

=====

Entry 3:
NpUW (GGA-PBE, relaxed); E_form = 0.8 eV per formula unit; crystal system = monoclinic; DOS(E_F) = 6.31 states/eV/f.u.
1.0
-0.323 1.779 -2.765
-0.647 -5.107 -1.236
-4.966 10.300 7.206
U Np W
2 2 2
direct
0.728 0.456 0.712
0.272 0.544 0.288
0.386 0.773 0.629
0.614 0.227 0.371
0.681 0.363 0.034
0.319 0.637 0.966

=====

Entry 4:
CeSmAlAg (GGA-PBE, relaxed); E_form = -0.8 eV per formula unit; crystal system = cubic; DOS(E_F) = 9.95 states/eV/f.u.
1.0
-5.217 0.708 0.022
-3.167 -3.812 1.777
-2.554 0.613 4.563
Ce Al Ag Sm
1 1 1 1
direct
0.000 0.000 0.000
0.750 0.750 0.750
0.250 0.250 0.250
0.500 0.500 0.500

=====

Entry 5:
Re2SbC (GGA-PBE, relaxed); offset from the most stable computed form = 699.3 meV per atom; crystal system = cubic; DOS(E_F) = 4.03 states/eV/f.u.; energy relative to the elements, uncorrected = 1.57 eV per atom
1.0
-2.193 -2.447 -2.829
-4.255 0.618 -0.558
-1.472 1.741 -3.688
C Re Sb
1 2 1
direct
0.000 0.000 0.000
0.750 0.750 0.750
0.250 0.250 0.250
0.500 0.500 0.500

=====

Entry 6:
Sc3VRe (GGA-PBE, relaxed); offset from the most stable computed form = 0.0 meV per atom; E_form = 3.3 eV per formula unit; crystal system = cubic; DOS(E_F) = 6.87 states/eV/f.u.
1.0
-0.426 -4.995 0.328
1.818 -0.461 -4.660
4.664 -0.276 1.847
Sc V Re
3 1 1
direct
0.000 0.500 0.000
0.500 0.000 0.000
0.000 0.000 0.500
0.500 0.500 0.500
0.000 0.000 0.000

=====

Question: Which value of DOS(E_F) does entry 6 give?
Answer: 6.87 states/eV/f.u.